K3TaBi3S8: optimized geometry, PBE.

abc: 8.1314 8.1314 8.8357
angles: 117.48 117.48 59.87
Atoms (fractional coordinates):
K 0.0000 0.0000 0.0000
K 0.0000 0.5000 0.0000
K 0.5000 0.0000 0.0000
Ta 0.0000 0.0000 0.5000
Bi 0.0000 0.5000 0.5000
Bi 0.5000 0.0000 0.5000
Bi 0.5000 0.5000 0.5000
S 0.2112 0.2112 0.6872
S 0.2113 0.7649 0.6873
S 0.2351 0.7887 0.3127
S 0.2624 0.2624 0.2871
S 0.7376 0.7376 0.7129
S 0.7649 0.2113 0.6873
S 0.7887 0.2351 0.3127
S 0.7888 0.7888 0.3128

Total DFT energy (no corrections) in eV/atom: -4.79
Formation energy (no corrections) in kJ/mol of atoms: -77.75
Space group: C2/m (12)
Crystal system: monoclinic
N(E_F) in states/eV per cell: 2.3

=====

Zn4Ga5Tc: optimized geometry, PBE.

abc: 6.4931 6.4931 6.4931
angles: 99.35 99.35 132.45
Atoms (fractional coordinates):
Zn 0.0012 0.2774 0.2787
Zn 0.2774 0.9988 0.2762
Zn 0.7226 0.0012 0.7238
Zn 0.9988 0.7226 0.7213
Ga 0.2315 0.2315 0.0000
Ga 0.2313 0.5119 0.7211
Ga 0.5101 0.2313 0.7194
Ga 0.5119 0.7907 0.2806
Ga 0.7907 0.5101 0.2789
Tc 0.7296 0.7296 0.0000

ΔE_f in eV per atom: 0.106
Total DFT energy (no corrections) in eV/atom: -2.95
Space group: I4 (79)
Crystal system: tetragonal
N(E_F) in states/eV per cell: 5.3

=====

Y2Ho2Co2Cl: optimized geometry, PBE.

abc: 13.3623 3.6168 8.2309
angles: 90.00 119.23 90.00
Atoms (fractional coordinates):
Y 0.0272 0.0000 0.2257
Y 0.4728 0.5000 0.7743
Y 0.5272 0.5000 0.2257
Y 0.9728 0.0000 0.7743
Ho 0.2286 0.5000 0.8131
Ho 0.2714 0.0000 0.1869
Ho 0.7286 0.0000 0.8131
Ho 0.7714 0.5000 0.1869
Co 0.1056 0.5000 0.0315
Co 0.3944 0.0000 0.9685
Co 0.6056 0.0000 0.0315
Co 0.8944 0.5000 0.9685
Cl 0.0000 0.5000 0.5000
Cl 0.5000 0.0000 0.5000

Total DFT energy (no corrections) in eV/atom: -5.95
Formation energy (no corrections) in kJ/mol of atoms: -48.25
Space group: C2/m (12)
Crystal system: monoclinic
N(E_F) in states/eV per cell: 10.6

=====

K2BeAsSe4: optimized geometry, PBE.

abc: 13.6469 12.0947 7.6146
angles: 84.38 61.89 33.73
Atoms (fractional coordinates):
K 0.0564 0.0564 0.6936
K 0.3064 0.3064 0.9436
K 0.6936 0.6936 0.0564
K 0.9436 0.9436 0.3064
Be 0.1250 0.1250 0.1250
Be 0.8750 0.8750 0.8750
As 0.3750 0.3750 0.3750
As 0.6250 0.6250 0.6250
Se 0.0474 0.3091 0.3931
Se 0.2496 0.6069 0.6909
Se 0.3091 0.0474 0.7504
Se 0.3931 0.7504 0.0474
Se 0.6069 0.2496 0.9526
Se 0.6909 0.9526 0.2496
Se 0.7504 0.3931 0.3091
Se 0.9526 0.6909 0.6069

Total DFT energy (no corrections) in eV/atom: -3.73
Formation energy (no corrections) in kJ/mol of atoms: -64.27
Space group: Fddd (70)
Crystal system: orthorhombic
N(E_F) in states/eV per cell: 8.9

=====

Tm3SbP: optimized geometry, PBE.

abc: 7.3912 12.8956 5.6508
angles: 90.00 90.00 90.00
Atoms (fractional coordinates):
Tm 0.0211 0.2500 0.1152
Tm 0.1586 0.1153 0.6026
Tm 0.1586 0.3847 0.6026
Tm 0.3414 0.6153 0.1026
Tm 0.3414 0.8847 0.1026
Tm 0.4789 0.7500 0.6152
Tm 0.5211 0.2500 0.3848
Tm 0.6586 0.1153 0.8974
Tm 0.6586 0.3847 0.8974
Tm 0.8414 0.6153 0.3974
Tm 0.8414 0.8847 0.3974
Tm 0.9789 0.7500 0.8848
Sb 0.0000 0.0000 0.0000
Sb 0.0000 0.5000 0.0000
Sb 0.5000 0.0000 0.5000
Sb 0.5000 0.5000 0.5000
P 0.1354 0.7500 0.3833
P 0.3646 0.2500 0.8833
P 0.6354 0.7500 0.1167
P 0.8646 0.2500 0.6167

Total DFT energy (no corrections) in eV/atom: -5.42
Formation energy (no corrections) in kJ/mol of atoms: -79.70
Space group: Pnma (62)
Crystal system: orthorhombic
N(E_F) in states/eV per cell: 15.0

=====

BaP2Au: optimized geometry, PBE.

abc: 7.6044 7.5359 3.2397
angles: 90.00 90.17 90.00
Atoms (fractional coordinates):
Ba 0.0000 0.0000 0.0000
Ba 0.5000 0.5000 0.0000
P 0.2500 0.2500 0.5000
P 0.2500 0.7500 0.5000
P 0.7500 0.2500 0.5000
P 0.7500 0.7500 0.5000
Au 0.0000 0.5000 0.0000
Au 0.5000 0.0000 0.0000

Energy relative to the lowest polymorph listed for this composition in meV per atom: 745
ΔE_f in eV per atom: 0.170
Total DFT energy (no corrections) in eV/atom: -3.84
Space group: C2/m (12)
Crystal system: monoclinic
N(E_F) in states/eV per cell: 5.0

=====

Sr2LiAlPt2: optimized geometry, PBE.

abc: 8.6274 8.6274 8.6274
angles: 138.51 60.53 137.97
Atoms (fractional coordinates):
Sr 0.1697 0.2344 0.4042
Sr 0.3303 0.7344 0.0647
Sr 0.6697 0.2656 0.9353
Sr 0.8303 0.7656 0.5958
Li 0.2500 0.2500 0.0000
Li 0.7500 0.7500 0.0000
Al 0.2500 0.7500 0.5000
Al 0.7500 0.2500 0.5000
Pt 0.0998 0.7216 0.8213
Pt 0.4002 0.2216 0.6218
Pt 0.5998 0.7784 0.3782
Pt 0.9002 0.2784 0.1787

ΔE_f in eV per atom: -0.791
Total DFT energy (no corrections) in eV/atom: -4.31
Space group: Ibam (72)
Crystal system: orthorhombic
N(E_F) in states/eV per cell: 3.4

=====

LiBe2Pt: optimized geometry, PBE.

abc: 5.6156 5.6261 2.7644
angles: 90.00 90.00 90.00
Atoms (fractional coordinates):
Li 0.0000 0.0000 0.0000
Li 0.5000 0.5000 0.0000
Be 0.2500 0.2500 0.5000
Be 0.2500 0.7500 0.5000
Be 0.7500 0.2500 0.5000
Be 0.7500 0.7500 0.5000
Pt 0.0000 0.5000 0.0000
Pt 0.5000 0.0000 0.0000

ΔE_f in eV per atom: -0.392
Total DFT energy (no corrections) in eV/atom: -4.24
Space group: Cmmm (65)
Crystal system: orthorhombic
N(E_F) in states/eV per cell: 2.2

=====

Np2Tl3InTe6: optimized geometry, PBE.

abc: 7.8542 7.8542 8.4081
angles: 98.76 98.76 119.82
Atoms (fractional coordinates):
Np 0.1680 0.8320 0.0000
Np 0.8320 0.1680 0.0000
Tl 0.0000 0.0000 0.5000
Tl 0.3383 0.6617 0.5000
Tl 0.6617 0.3383 0.5000
In 0.5000 0.5000 0.0000
Te 0.0788 0.4280 0.7838
Te 0.2214 0.2214 0.2079
Te 0.4280 0.0788 0.7838
Te 0.5720 0.9212 0.2162
Te 0.7786 0.7786 0.7921
Te 0.9212 0.5720 0.2162

Total DFT energy (no corrections) in eV/atom: -5.02
Formation energy (no corrections) in kJ/mol of atoms: -45.34
Space group: C2/m (12)
Crystal system: monoclinic
N(E_F) in states/eV per cell: 19.4

=====

NdHoEr2Tl4: optimized geometry, PBE.

abc: 9.3557 9.3557 9.3557
angles: 33.43 33.43 33.43
Atoms (fractional coordinates):
Nd 0.0000 0.0000 0.0000
Ho 0.5000 0.5000 0.5000
Er 0.2494 0.2494 0.2494
Er 0.7506 0.7506 0.7506
Tl 0.1266 0.1266 0.1266
Tl 0.3768 0.3768 0.3768
Tl 0.6232 0.6232 0.6232
Tl 0.8734 0.8734 0.8734

ΔE_f in eV per atom: -0.331
Total DFT energy (no corrections) in eV/atom: -3.82
Space group: R-3m (166)
Crystal system: trigonal
N(E_F) in states/eV per cell: 6.6

=====

AcNiBiRu: optimized geometry, PBE.

abc: 7.0387 7.0387 7.0387
angles: 90.00 90.00 90.00
Atoms (fractional coordinates):
Ac 0.0000 0.0000 0.0000
Ac 0.0000 0.5000 0.5000
Ac 0.5000 0.0000 0.5000
Ac 0.5000 0.5000 0.0000
Ni 0.2500 0.2500 0.2500
Ni 0.2500 0.7500 0.7500
Ni 0.7500 0.2500 0.7500
Ni 0.7500 0.7500 0.2500
Bi 0.0000 0.0000 0.5000
Bi 0.0000 0.5000 0.0000
Bi 0.5000 0.0000 0.0000
Bi 0.5000 0.5000 0.5000
Ru 0.2500 0.2500 0.7500
Ru 0.2500 0.7500 0.2500
Ru 0.7500 0.2500 0.2500
Ru 0.7500 0.7500 0.7500

ΔE_f in eV per atom: 0.091
Total DFT energy (no corrections) in eV/atom: -5.67
Space group: F-43m (216)
Crystal system: cubic
N(E_F) in states/eV per cell: 18.7

=====

DyEr5ThSc2: optimized geometry, PBE.

abc: 10.9115 10.9115 9.3420
angles: 90.00 90.00 150.42
Atoms (fractional coordinates):
Dy 0.0967 0.9033 0.5000
Dy 0.9033 0.0967 0.0000
Er 0.0307 0.9693 0.8257
Er 0.1103 0.8897 0.1224
Er 0.1943 0.8057 0.7954
Er 0.2349 0.7651 0.4151
Er 0.4908 0.5092 0.0948
Er 0.5092 0.4908 0.5948
Er 0.7651 0.2349 0.9151
Er 0.8057 0.1943 0.2954
Er 0.8897 0.1103 0.6224
Er 0.9693 0.0307 0.3257
Th 0.3146 0.6854 0.1026
Th 0.6854 0.3146 0.6026
Sc 0.3635 0.6365 0.7844
Sc 0.3873 0.6127 0.4009
Sc 0.6127 0.3873 0.9009
Sc 0.6365 0.3635 0.2844

ΔE_f in eV per atom: 0.175
Total DFT energy (no corrections) in eV/atom: -5.10
Space group: Cmc2_1 (36)
Crystal system: orthorhombic
N(E_F) in states/eV per cell: 22.6

=====

BaBe2Pb: optimized geometry, PBE.

abc: 7.3596 7.3596 7.3596
angles: 90.00 90.00 90.00
Atoms (fractional coordinates):
Ba 0.0000 0.0000 0.0000
Ba 0.0000 0.5000 0.5000
Ba 0.5000 0.0000 0.5000
Ba 0.5000 0.5000 0.0000
Be 0.0000 0.0000 0.5000
Be 0.0000 0.5000 0.0000
Be 0.2500 0.2500 0.2500
Be 0.2500 0.7500 0.7500
Be 0.5000 0.0000 0.0000
Be 0.5000 0.5000 0.5000
Be 0.7500 0.2500 0.7500
Be 0.7500 0.7500 0.2500
Pb 0.2500 0.2500 0.7500
Pb 0.2500 0.7500 0.2500
Pb 0.7500 0.2500 0.2500
Pb 0.7500 0.7500 0.7500

ΔE_f in eV per atom: 0.714
Total DFT energy (no corrections) in eV/atom: -2.56
Space group: F-43m (216)
Crystal system: cubic
N(E_F) in states/eV per cell: 5.7

=====

BeCrI2: optimized geometry, PBE.

abc: 6.7475 6.7475 6.7475
angles: 90.00 90.00 90.00
Atoms (fractional coordinates):
Be 0.0000 0.0000 0.0000
Be 0.0000 0.5000 0.5000
Be 0.5000 0.0000 0.5000
Be 0.5000 0.5000 0.0000
Cr 0.0000 0.0000 0.5000
Cr 0.0000 0.5000 0.0000
Cr 0.5000 0.0000 0.0000
Cr 0.5000 0.5000 0.5000
I 0.2500 0.2500 0.2500
I 0.2500 0.2500 0.7500
I 0.2500 0.7500 0.2500
I 0.2500 0.7500 0.7500
I 0.7500 0.2500 0.2500
I 0.7500 0.2500 0.7500
I 0.7500 0.7500 0.2500
I 0.7500 0.7500 0.7500

Energy relative to the lowest polymorph listed for this composition in meV per atom: 616
Total DFT energy (no corrections) in eV/atom: -2.95
Formation energy (no corrections) in kJ/mol of atoms: 112.50
Space group: Fm-3m (225)
Crystal system: cubic
N(E_F) in states/eV per cell: 17.3

=====

Rb2TaTe4: optimized geometry, PBE.

abc: 5.5286 5.5286 18.4299
angles: 90.00 90.00 90.00
Atoms (fractional coordinates):
Rb 0.0000 0.0000 0.1484
Rb 0.0000 0.0000 0.8516
Rb 0.5000 0.5000 0.3516
Rb 0.5000 0.5000 0.6484
Ta 0.0000 0.0000 0.5000
Ta 0.5000 0.5000 0.0000
Te 0.0000 0.0000 0.3496
Te 0.0000 0.0000 0.6504
Te 0.0000 0.5000 0.0000
Te 0.0000 0.5000 0.5000
Te 0.5000 0.0000 0.0000
Te 0.5000 0.0000 0.5000
Te 0.5000 0.5000 0.1504
Te 0.5000 0.5000 0.8496

Energy relative to the lowest polymorph listed for this composition in meV per atom: 60
Total DFT energy (no corrections) in eV/atom: -4.24
Formation energy (no corrections) in kJ/mol of atoms: -45.94
Space group: I4/mmm (139)
Crystal system: tetragonal
N(E_F) in states/eV per cell: 17.0

=====

RbPrCu2O4: optimized geometry, PBE.

abc: 3.9478 3.9478 7.6713
angles: 90.00 90.00 90.00
Atoms (fractional coordinates):
Rb 0.0000 0.0000 0.0000
Pr 0.0000 0.0000 0.5000
Cu 0.5000 0.5000 0.2840
Cu 0.5000 0.5000 0.7160
O 0.0000 0.5000 0.2995
O 0.0000 0.5000 0.7005
O 0.5000 0.0000 0.2995
O 0.5000 0.0000 0.7005

Total DFT energy (no corrections) in eV/atom: -5.80
Formation energy (no corrections) in kJ/mol of atoms: -152.23
Space group: P4/mmm (123)
Crystal system: tetragonal
N(E_F) in states/eV per cell: 2.5

=====

As3RhF: optimized geometry, PBE.

abc: 4.4343 4.4343 4.4343
angles: 90.00 90.00 90.00
Atoms (fractional coordinates):
As 0.0000 0.0000 0.5000
As 0.0000 0.5000 0.0000
As 0.5000 0.0000 0.0000
Rh 0.5000 0.5000 0.5000
F 0.0000 0.0000 0.0000

Energy relative to the lowest polymorph listed for this composition in meV per atom: 70
Total DFT energy (no corrections) in eV/atom: -4.27
Formation energy (no corrections) in kJ/mol of atoms: 35.49
Space group: Pm-3m (221)
Crystal system: cubic
N(E_F) in states/eV per cell: 1.2

=====

CoTcPt2: optimized geometry, PBE.

abc: 3.8008 3.8008 7.8203
angles: 90.00 90.00 90.00
Atoms (fractional coordinates):
Co 0.0000 0.0000 0.0000
Co 0.5000 0.5000 0.5000
Tc 0.0000 0.0000 0.5000
Tc 0.5000 0.5000 0.0000
Pt 0.0000 0.5000 0.2500
Pt 0.0000 0.5000 0.7500
Pt 0.5000 0.0000 0.2500
Pt 0.5000 0.0000 0.7500

Energy relative to the lowest polymorph listed for this composition in meV per atom: 43
ΔE_f in eV per atom: -0.058
Total DFT energy (no corrections) in eV/atom: -7.45
Space group: I4/mmm (139)
Crystal system: tetragonal
N(E_F) in states/eV per cell: 11.3

=====

ThGaGe2: optimized geometry, PBE.

abc: 3.6979 3.6979 6.2858
angles: 90.00 90.00 90.00
Atoms (fractional coordinates):
Th 0.0000 0.0000 0.0000
Ga 0.0000 0.0000 0.5000
Ge 0.5000 0.5000 0.2942
Ge 0.5000 0.5000 0.7058

Energy relative to the lowest polymorph listed for this composition in meV per atom: 173
ΔE_f in eV per atom: -0.314
Total DFT energy (no corrections) in eV/atom: -5.23
Space group: P4/mmm (123)
Crystal system: tetragonal
N(E_F) in states/eV per cell: 2.6

=====

PaCu4Pt: optimized geometry, PBE.

abc: 5.0056 5.0056 5.0056
angles: 60.00 60.00 60.00
Atoms (fractional coordinates):
Pa 0.0000 0.0000 0.0000
Cu 0.3759 0.3759 0.3759
Cu 0.3759 0.3759 0.8724
Cu 0.3759 0.8724 0.3759
Cu 0.8724 0.3759 0.3759
Pt 0.7500 0.7500 0.7500

ΔE_f in eV per atom: -0.350
Total DFT energy (no corrections) in eV/atom: -5.67
Space group: F-43m (216)
Crystal system: cubic
N(E_F) in states/eV per cell: 4.4

=====

Asked for spin magnetization across the records above, the calculation gives 0.99; 0.00; 0.00; 0.00; 0.00; 0.00; 0.00; 0.00; 6.76; 0.00; 0.00; 0.00; 0.00; 0.00; 0.00; 0.00; 0.00; 1.19; 0.00; 0.00 μB per formula unit in order.